The following is a PBE calculation of crystalline Li3Tm12Pb5 at its relaxed geometry, from Alexandria via LeMat-Bulk.

Cell: 15.4289 15.4289 15.4289 Å, 109.47 109.47 109.47°
Sites, in units of the cell vectors:
Li (0.7500, 0.3750, 0.1250)
Li (0.8750, 0.7500, 0.1250)
Li (0.3750, 0.7500, 0.6250)
Li (0.2500, 0.1250, 0.3750)
Li (0.8750, 0.1250, 0.2500)
Li (0.3750, 0.6250, 0.2500)
Li (0.6250, 0.3750, 0.7500)
Li (0.1250, 0.8750, 0.7500)
Li (0.7500, 0.8750, 0.6250)
Li (0.6250, 0.2500, 0.3750)
Li (0.1250, 0.2500, 0.8750)
Li (0.2500, 0.6250, 0.8750)
Pb (0.1250, 0.3750, 0.2500)
Pb (0.0000, 0.5000, 0.0000)
Pb (0.0000, 0.0000, 0.0000)
Pb (0.3750, 0.2500, 0.1250)
Pb (0.5000, 0.0000, 0.5000)
Pb (0.5000, 0.5000, 0.0000)
Pb (0.1250, 0.7500, 0.3750)
Pb (0.7500, 0.1250, 0.8750)
Pb (0.7500, 0.6250, 0.3750)
Pb (0.3750, 0.1250, 0.7500)
Pb (0.6250, 0.8750, 0.2500)
Pb (0.5000, 0.5000, 0.5000)
Pb (0.5000, 0.0000, 0.0000)
Pb (0.0000, 0.0000, 0.5000)
Pb (0.2500, 0.3750, 0.6250)
Pb (0.2500, 0.8750, 0.1250)
Pb (0.0000, 0.5000, 0.5000)
Pb (0.8750, 0.2500, 0.6250)
Pb (0.6250, 0.7500, 0.8750)
Pb (0.8750, 0.6250, 0.7500)
Tm (0.7259, 0.1265, 0.0583)
Tm (0.3324, 0.5583, 0.4318)
Tm (0.9417, 0.3735, 0.2741)
Tm (0.5583, 0.2259, 0.1265)
Tm (0.5994, 0.7259, 0.6676)
Tm (0.9417, 0.5682, 0.1676)
Tm (0.3324, 0.7741, 0.4006)
Tm (0.0682, 0.9006, 0.1265)
Tm (0.5682, 0.9417, 0.6676)
Tm (0.7259, 0.5994, 0.1676)
Tm (0.7741, 0.4417, 0.3735)
Tm (0.8324, 0.9318, 0.0583)
Tm (0.1265, 0.7259, 0.5583)
Tm (0.3735, 0.4318, 0.0994)
Tm (0.0994, 0.9318, 0.3735)
Tm (0.4006, 0.1265, 0.5682)
Tm (0.0994, 0.1676, 0.2259)
Tm (0.4417, 0.6676, 0.0682)
Tm (0.8324, 0.9006, 0.2741)
Tm (0.1265, 0.4006, 0.0682)
Tm (0.3735, 0.9417, 0.7741)
Tm (0.5682, 0.6265, 0.4006)
Tm (0.9318, 0.8324, 0.5583)
Tm (0.7741, 0.3324, 0.9006)
Tm (0.4318, 0.3735, 0.5994)
Tm (0.0682, 0.1676, 0.4417)
Tm (0.2259, 0.6676, 0.0994)
Tm (0.1676, 0.0994, 0.7259)
Tm (0.6265, 0.0583, 0.2259)
Tm (0.8735, 0.5994, 0.9318)
Tm (0.5583, 0.3324, 0.9318)
Tm (0.5994, 0.8735, 0.4318)
Tm (0.9006, 0.8324, 0.7741)
Tm (0.9006, 0.0682, 0.6265)
Tm (0.8735, 0.2741, 0.4417)
Tm (0.1676, 0.0682, 0.9417)
Tm (0.6265, 0.5682, 0.9006)
Tm (0.4318, 0.0583, 0.3324)
Tm (0.2741, 0.4006, 0.8324)
Tm (0.2259, 0.5583, 0.6265)
Tm (0.9318, 0.0994, 0.8735)
Tm (0.6676, 0.2259, 0.5994)
Tm (0.4417, 0.7741, 0.8735)
Tm (0.0583, 0.4318, 0.8324)
Tm (0.4006, 0.2741, 0.3324)
Tm (0.0583, 0.6265, 0.7259)
Tm (0.6676, 0.4417, 0.5682)
Tm (0.2741, 0.8735, 0.9417)

The formation energy from the elements is 0.375 eV/atom.